This record from Alexandria describes a geometry-optimized PaZnCu2 structure. The functional is GGA-PBE.

Unit cell a=3.039 b=3.039 c=6.966 alpha=90.00 beta=90.00 gamma=90.00
Space group P4/mmm (No. 123)
Symmetry-distinct sites (fractional):
1 Pa 0.000 0.000 0.000 (multiplicity 1)
2 Zn 0.000 0.000 0.500 (multiplicity 1)
3 Cu 0.500 0.500 0.297 (multiplicity 2)

Calculated values
ΔE_f ... -0.01 eV/atom


This record from Alexandria describes a geometry-optimized ReHRu2 structure. The functional is GGA-PBE.

Unit cell a=2.778 b=2.778 c=6.101 alpha=90.00 beta=90.00 gamma=90.00
Space group P4/mmm (No. 123)
Symmetry-distinct sites (fractional):
1 Re 0.000 0.000 0.000 (multiplicity 1)
2 H 0.000 0.000 0.500 (multiplicity 1)
3 Ru 0.500 0.500 0.294 (multiplicity 2)

Calculated values
Energy above the most stable polymorph in this dataset ... 291 meV/atom


This record from Alexandria describes a geometry-optimized Mn2AsH2 structure. The functional is GGA-PBE.

Unit cell a=5.362 b=5.362 c=2.949 alpha=90.00 beta=90.00 gamma=90.00
Space group P4/mbm (No. 127)
Symmetry-distinct sites (fractional):
1 Mn 0.168 0.332 0.000 (multiplicity 4)
2 As 0.000 0.000 0.500 (multiplicity 2)
3 H 0.063 0.563 0.500 (multiplicity 4)

Calculated values
Energy above the most stable polymorph in this dataset ... 333 meV/atom


Going through the records in order, we get calculated total energy values of -19.01; -33.14; -27.85 eV/f.u..
Going through the records in order, we get total magnetization values of 0.00; 0.00; 2.62 μB/cell.